Material: Na2VZnF8
Method: DFT, PBE+U
State: relaxed

Values from the calculation:
Mass density ... 3152 kg/m3
Fermi-level density of states ... 0.00 states/eV per cell
Raw total energy ... -4.855 eV/atom

Geometry as CIF:
```
data_Na2VZnF8
_space_group_name_H-M_alt 'P 1 2/m 1'
_space_group_IT_number 10
_space_group_name_Hall '-P 2y'
_cell_length_a 4.990
_cell_length_b 6.652
_cell_length_c 4.996
_cell_angle_alpha 90.00
_cell_angle_beta 93.23
_cell_angle_gamma 90.00
loop_
_atom_site_label
_atom_site_type_symbol
_atom_site_fract_x
_atom_site_fract_y
_atom_site_fract_z
Na1 Na 0.000 0.243 0.000
V1 V 0.500 0.500 0.500
Zn1 Zn 0.500 0.000 0.500
F1 F 0.228 0.000 0.226
F2 F 0.233 0.500 0.231
F3 F 0.322 0.287 0.676
```